The following is a PBE-GGA calculation of Y7ErCd4 after structural relaxation, from Alexandria via LeMat-Bulk. Values from VASP.

**Theoretical density**: 5.9 Mg/m³
**Total magnetization**: 0.165 μB per formula unit
**ΔH_f (0 K)**: -0.0120 eV per atom

```
&SYSTEM
  ibrav = 0, nat = 12, ntyp = 3
/
ATOMIC_SPECIES
Y 88.91 Y.upf
Er 167.26 Er.upf
Cd 112.41 Cd.upf
CELL_PARAMETERS angstrom
-4.146 -0.255 -3.905
-7.936 -0.470 4.295
-3.743 6.917 -0.639
ATOMIC_POSITIONS crystal
Y 0.262 0.692 0.783
Y 0.500 0.000 0.000
Y 0.738 0.308 0.217
Y 0.929 0.412 0.730
Y 0.208 0.118 0.466
Y 0.071 0.588 0.270
Y 0.792 0.882 0.534
Er 0.000 0.000 0.000
Cd 0.681 0.659 0.979
Cd 0.544 0.284 0.629
Cd 0.456 0.716 0.371
Cd 0.319 0.341 0.021
```